Compound: Be2ReOs
Source: the Alexandria database
Functional: GGA-PBE
Structure: optimized geometry

Geometry as POSCAR:
```
Be2ReOs
1.0
-1.695 1.452 1.436
-0.235 -2.632 0.247
5.136 0.100 5.962
Be Os Re
2 1 1
direct
0.000 0.000 0.017 Be
0.500 0.500 0.238 Be
0.000 0.000 0.478 Os
0.500 0.500 0.767 Re
```

Results
**Energy**: -7.444 eV per atom
**Magnetization**: 0.0000 μB/atom
**Formation energy from the elements**: 338 meV/atom
**Distance to the lowest polymorph of the same formula**: 0.4874 eV per atom